# 1
DFT (PBE) results for TbErInPt after structural relaxation. Values from VASP.

Output
Raw total energy ... -5.25 eV per atom

Structure (Quantum ESPRESSO input):
```
&SYSTEM
  ibrav = 0, nat = 4, ntyp = 4
/
ATOMIC_SPECIES
Tb 158.93 Tb.upf
Er 167.26 Er.upf
In 114.82 In.upf
Pt 195.08 Pt.upf
CELL_PARAMETERS angstrom
0.0000 3.6191 3.6191
3.6191 0.0000 3.6191
3.6191 3.6191 0.0000
ATOMIC_POSITIONS angstrom
Tb 0.0000 0.0000 0.0000
Er 3.6191 3.6191 3.6191
In 1.8096 1.8096 1.8096
Pt 5.4287 5.4287 5.4287
```

# 2
DFT (PBE) results for Sr2TcAg after structural relaxation. Values from VASP.

Output
E above lowest polymorph ... 0.066 eV per atom

Structure (Quantum ESPRESSO input):
```
&SYSTEM
  ibrav = 0, nat = 4, ntyp = 3
/
ATOMIC_SPECIES
Sr 87.62 Sr.upf
Tc 98.00 Tc.upf
Ag 107.87 Ag.upf
CELL_PARAMETERS angstrom
6.0654 -1.7667 0.0000
6.0654 1.7667 0.0000
-1.7286 0.0000 5.1657
ATOMIC_POSITIONS angstrom
Sr 0.0000 0.0000 0.0000
Sr 1.3579 0.0000 3.3480
Tc 8.8378 0.0000 0.9492
Ag 4.5178 0.0000 2.2852
```

# 3
DFT (PBE) results for ZnTe2Pt after structural relaxation. Values from VASP.

Output
Formation energy (no corrections) ... -227 meV/atom

Structure (Quantum ESPRESSO input):
```
&SYSTEM
  ibrav = 0, nat = 4, ntyp = 3
/
ATOMIC_SPECIES
Zn 65.41 Zn.upf
Te 127.60 Te.upf
Pt 195.08 Pt.upf
CELL_PARAMETERS angstrom
4.6309 0.0000 0.0000
0.0000 2.7462 3.6054
0.0000 -2.7462 3.6054
ATOMIC_POSITIONS angstrom
Zn 0.0000 0.0000 0.0000
Te 0.0000 0.0000 2.8053
Te 2.3154 0.0000 5.6589
Pt 2.3154 0.0000 1.3914
```

| no. | M_tot (μB/cell) |
| --- | --- |
| 1 | 0.000 |
| 2 | 1.719 |
| 3 | 0.000 |